Mo3RuF | the Alexandria database | PBE with a Hubbard U | relaxed; space group = Pm-3m; crystal system = cubic; VASP energy = -5.1880 eV per atom; calculated volume = 74.2 Å³/f.u.
1.0
-0.273 3.137 -2.783
-3.991 -1.050 -0.792
-1.286 2.592 3.047
Mo F Ru
3 1 1
direct
0.000 0.500 0.000
0.500 0.000 0.000
0.000 0.000 0.500
0.000 0.000 0.000
0.500 0.500 0.500